(1)
First-principles (PBE-GGA) data for a relaxed TiRhSe4 crystal, as listed in Alexandria.

Unit cell a=14.374 b=3.546 c=5.772 alpha=90.00 beta=110.43 gamma=90.00
Space group C2/m (No. 12)
Asymmetric unit:
Ti  0.000  0.000  0.000 [2 per cell]
Rh  0.000  0.500  0.500 [2 per cell]
Se  0.116  0.000  0.449 [4 per cell]
Se  0.119  0.500  0.942 [4 per cell]

Results
The value obtained for the distance to the lowest polymorph of the same formula is 0 meV/atom. The calculation puts the volume at 22.97 Å³/atom. The value obtained for the density of states at the Fermi level is 2.2 states/eV/f.u.

***

(2)
First-principles (PBE-GGA) data for a relaxed TiTl3Rh2Se6 crystal, as listed in Alexandria.

Unit cell a=6.430 b=11.154 c=8.309 alpha=90.00 beta=105.20 gamma=90.00
Space group C2/m (No. 12)
Asymmetric unit:
Ti  0.000  0.000  0.000 [2 per cell]
Tl  0.000  0.166  0.500 [4 per cell]
Tl  0.000  0.500  0.500 [2 per cell]
Rh  0.000  0.333  0.000 [4 per cell]
Se  0.218  0.500  0.172 [4 per cell]
Se  0.229  0.170  0.173 [8 per cell]

Results
The calculation puts the volume at 23.96 Å³/atom. The value obtained for the density of states at the Fermi level is 4.0 states/eV/f.u.

***

(3)
First-principles (PBE-GGA) data for a relaxed TiTlRhSe2 crystal, as listed in Alexandria.

Unit cell a=4.812 b=4.812 c=5.429 alpha=90.00 beta=90.00 gamma=90.00
Space group P4/mmm (No. 123)
Asymmetric unit:
Ti  0.000  0.000  0.000 [1 per cell]
Tl  0.000  0.000  0.500 [1 per cell]
Rh  0.500  0.500  0.500 [1 per cell]
Se  0.000  0.500  0.000 [2 per cell]

Results
The calculation puts the volume at 25.14 Å³/atom. The value obtained for the density of states at the Fermi level is 9.1 states/eV/f.u.

***

(4)
First-principles (PBE-GGA) data for a relaxed TiVRh2Se crystal, as listed in Alexandria.

Unit cell a=4.497 b=4.497 c=4.601 alpha=90.00 beta=90.00 gamma=90.00
Space group P4/mmm (No. 123)
Asymmetric unit:
Ti  0.000  0.000  0.000 [1 per cell]
V  0.500  0.500  0.500 [1 per cell]
Rh  0.000  0.500  0.500 [2 per cell]
Se  0.500  0.500  0.000 [1 per cell]

Results
The calculation puts the volume at 18.61 Å³/atom. The value obtained for the density of states at the Fermi level is 10.7 states/eV/f.u.

***

(5)
First-principles (PBE-GGA) data for a relaxed TiVRhSe2 crystal, as listed in Alexandria.

Unit cell a=4.811 b=4.811 c=4.297 alpha=90.00 beta=90.00 gamma=90.00
Space group P4/mmm (No. 123)
Asymmetric unit:
Ti  0.000  0.000  0.000 [1 per cell]
V  0.000  0.000  0.500 [1 per cell]
Rh  0.500  0.500  0.500 [1 per cell]
Se  0.000  0.500  0.000 [2 per cell]

Results
The calculation puts the volume at 19.89 Å³/atom. The value obtained for the density of states at the Fermi level is 7.0 states/eV/f.u.

***

(6)
First-principles (PBE-GGA) data for a relaxed TlRhSe2 crystal, as listed in Alexandria.

Unit cell a=5.574 b=5.574 c=11.540 alpha=90.00 beta=90.00 gamma=90.00
Space group I4_1/amd (No. 141, origin choice 2)
Asymmetric unit:
Tl  0.000  0.250  0.375 [4 per cell]
Rh  0.000  0.250  0.875 [4 per cell]
Se  0.000  0.250  0.090 [8 per cell]

Results
The calculation puts the volume at 22.41 Å³/atom. The value obtained for the density of states at the Fermi level is 2.4 states/eV/f.u.

***

(7)
First-principles (PBE-GGA) data for a relaxed TlRhSe2 crystal, as listed in Alexandria.

Unit cell a=7.694 b=4.085 c=12.346 alpha=90.00 beta=90.00 gamma=90.00
Space group Pnma (No. 62)
Asymmetric unit:
Tl  0.106  0.250  0.133 [4 per cell]
Rh  0.057  0.750  0.379 [4 per cell]
Se  0.157  0.250  0.473 [4 per cell]
Se  0.159  0.250  0.771 [4 per cell]

Results
The calculation puts the volume at 24.25 Å³/atom. The value obtained for the density of states at the Fermi level is 2.4 states/eV/f.u.

***

(8)
First-principles (PBE-GGA) data for a relaxed TlRhSe2 crystal, as listed in Alexandria.

Unit cell a=6.650 b=3.841 c=7.382 alpha=90.00 beta=90.06 gamma=90.00
Space group C2/m (No. 12)
Asymmetric unit:
Tl  0.000  0.000  0.000 [2 per cell]
Rh  0.000  0.000  0.500 [2 per cell]
Se  0.166  0.500  0.334 [4 per cell]

Results
The calculation puts the volume at 23.57 Å³/atom. The value obtained for the density of states at the Fermi level is 0.6 states/eV/f.u.

***

no.,electronic total energy (Ry per atom)
1,-0.411
2,-0.348
3,-0.333
4,-0.485
5,-0.409
6,-0.316
7,-0.325
8,-0.337